Model a:
An optimized crystal structure of InN. Source: Alexandria, functional PBE.

Lattice parameters (Å, degrees): 10.075 3.473 6.349 90.00 90.00 90.00
Atoms (fractional coordinates):
In (0.704, 0.857, 0.823)
In (0.500, 0.518, 0.116)
In (0.296, 0.857, 0.823)
In (0.796, 0.143, 0.323)
In (0.204, 0.143, 0.323)
In (0.000, 0.482, 0.616)
N (0.710, 0.642, 0.171)
N (0.790, 0.358, 0.671)
N (0.290, 0.642, 0.171)
N (0.500, 0.022, 0.898)
N (0.000, 0.978, 0.398)
N (0.210, 0.358, 0.671)

## Properties
The total magnetization comes out at 0.0 μB per cell.

***

Model b:
An optimized crystal structure of InN. Source: Alexandria, functional PBE.

Lattice parameters (Å, degrees): 9.717 9.717 3.708 90.00 90.00 90.00
Atoms (fractional coordinates):
N (0.110, 0.623, 0.000)
N (0.613, 0.228, 0.500)
N (0.772, 0.613, 0.500)
N (0.623, 0.890, 0.000)
N (0.387, 0.772, 0.500)
N (0.228, 0.387, 0.500)
N (0.890, 0.377, 0.000)
N (0.377, 0.110, 0.000)
In (0.890, 0.618, 0.000)
In (0.776, 0.374, 0.500)
In (0.618, 0.110, 0.000)
In (0.382, 0.890, 0.000)
In (0.626, 0.776, 0.500)
In (0.110, 0.382, 0.000)
In (0.374, 0.224, 0.500)
In (0.224, 0.626, 0.500)

## Properties
The total magnetization comes out at 0.0 μB per cell.

***

Model c:
An optimized crystal structure of InN. Source: Alexandria, functional PBE.

Lattice parameters (Å, degrees): 6.858 6.858 6.858 90.00 90.00 90.00
Atoms (fractional coordinates):
N (0.341, 0.341, 0.659)
N (0.159, 0.841, 0.841)
N (0.159, 0.159, 0.159)
N (0.341, 0.659, 0.341)
N (0.841, 0.841, 0.159)
N (0.841, 0.159, 0.841)
N (0.659, 0.341, 0.341)
N (0.659, 0.659, 0.659)
In (0.166, 0.834, 0.166)
In (0.666, 0.666, 0.334)
In (0.334, 0.666, 0.666)
In (0.166, 0.166, 0.834)
In (0.834, 0.834, 0.834)
In (0.666, 0.334, 0.666)
In (0.834, 0.166, 0.166)
In (0.334, 0.334, 0.334)

## Properties
The total magnetization comes out at 0.0 μB per cell.

***

Order from most stable to least stable according to the calculation: model c, model b, model a

***

Model a:
An optimized crystal structure of InN. Source: Alexandria, functional PBE.

Lattice parameters (Å, degrees): 9.712 10.046 6.947 90.00 90.00 90.00
Atoms (fractional coordinates):
In (0.585, 0.750, 0.750)
In (0.835, 0.500, 0.500)
In (0.335, 0.500, 0.000)
In (0.085, 0.750, 0.250)
In (0.415, 0.250, 0.750)
In (0.665, 0.500, 0.000)
In (0.665, 0.000, 0.500)
In (0.915, 0.750, 0.750)
In (0.835, 0.000, 0.000)
In (0.335, 0.000, 0.500)
In (0.915, 0.250, 0.250)
In (0.165, 0.500, 0.500)
In (0.585, 0.250, 0.250)
In (0.415, 0.750, 0.250)
In (0.165, 0.000, 0.000)
In (0.085, 0.250, 0.750)
N (0.750, 0.408, 0.250)
N (0.750, 0.592, 0.750)
N (0.750, 0.092, 0.250)
N (0.000, 0.842, 0.000)
N (0.500, 0.158, 0.500)
N (0.500, 0.658, 0.000)
N (0.000, 0.658, 0.500)
N (0.000, 0.342, 0.500)
N (0.250, 0.092, 0.750)
N (0.750, 0.908, 0.750)
N (0.250, 0.408, 0.750)
N (0.000, 0.158, 0.000)
N (0.500, 0.342, 0.000)
N (0.250, 0.908, 0.250)
N (0.250, 0.592, 0.250)
N (0.500, 0.842, 0.500)

## Properties
The total magnetization comes out at 0.0 μB per cell.

***

Model b:
An optimized crystal structure of InN. Source: Alexandria, functional PBE.

Lattice parameters (Å, degrees): 6.138 6.138 3.578 90.00 90.00 90.00
Atoms (fractional coordinates):
In (0.683, 0.683, 0.000)
In (0.817, 0.183, 0.500)
In (0.317, 0.317, 0.000)
In (0.183, 0.817, 0.500)
N (0.322, 0.678, 0.000)
N (0.822, 0.822, 0.500)
N (0.178, 0.178, 0.500)
N (0.678, 0.322, 0.000)

## Properties
The total magnetization comes out at 0.0 μB per cell.

***

Order from most stable to least stable according to the calculation: model b, model a

***

Model a:
An optimized crystal structure of InN. Source: Alexandria, functional PBE.

Lattice parameters (Å, degrees): 6.366 6.371 7.393 90.00 90.00 90.00
Atoms (fractional coordinates):
N (0.355, 0.572, 0.273)
N (0.842, 0.406, 0.469)
N (0.145, 0.428, 0.773)
N (0.645, 0.072, 0.227)
N (0.158, 0.906, 0.031)
N (0.855, 0.928, 0.727)
N (0.658, 0.594, 0.969)
N (0.342, 0.094, 0.531)
In (0.306, 0.596, 0.974)
In (0.694, 0.096, 0.526)
In (0.663, 0.421, 0.221)
In (0.194, 0.404, 0.474)
In (0.806, 0.904, 0.026)
In (0.337, 0.921, 0.279)
In (0.837, 0.579, 0.721)
In (0.163, 0.079, 0.779)

## Properties
The total magnetization comes out at 0.0 μB per cell.

***

Model b:
An optimized crystal structure of InN. Source: Alexandria, functional PBE.

Lattice parameters (Å, degrees): 3.643 5.248 11.102 90.00 90.00 90.00
Atoms (fractional coordinates):
In (0.500, 0.120, 0.350)
In (0.000, 0.880, 0.150)
In (0.000, 0.624, 0.500)
In (0.000, 0.880, 0.850)
In (0.500, 0.376, 0.000)
In (0.500, 0.120, 0.650)
N (0.000, 0.883, 0.349)
N (0.500, 0.388, 0.500)
N (0.500, 0.117, 0.151)
N (0.000, 0.612, 0.000)
N (0.000, 0.883, 0.651)
N (0.500, 0.117, 0.849)

## Properties
The total magnetization comes out at 0.0 μB per cell.

***

Order from most stable to least stable according to the calculation: model b, model a

***

Model a:
An optimized crystal structure of Na2InN. Source: Alexandria, functional PBE.

Lattice parameters (Å, degrees): 4.755 4.755 4.755 60.00 60.00 60.00
Atoms (fractional coordinates):
Na (0.250, 0.250, 0.250)
Na (0.750, 0.750, 0.750)
N (0.000, 0.000, 0.000)
In (0.500, 0.500, 0.500)

## Properties
The total magnetization comes out at 0.0 μB per cell.

***

Model b:
An optimized crystal structure of Na2InN. Source: Alexandria, functional PBE.

Lattice parameters (Å, degrees): 5.927 5.927 7.787 67.63 67.63 90.00
Each line ends with the local moment (μB).
Atoms (fractional coordinates):
Na (0.403, 0.125, 0.250)  0.00
Na (0.347, 0.625, 0.250)  0.00
Na (0.875, 0.653, 0.750)  0.00
Na (0.375, 0.597, 0.750)  0.00
In (0.000, 0.000, 0.000)  -0.02
In (0.750, 0.250, 0.500)  -0.02
N (0.250, 0.750, 0.500)  0.06
N (0.500, 0.500, 0.000)  0.06

## Properties
The total magnetization comes out at 0.0 μB per cell.

***

Order from most stable to least stable according to the calculation: model a, model b

***

Model a:
An optimized crystal structure of NaInSN2. Source: Alexandria, functional PBE.

Lattice parameters (Å, degrees): 4.381 5.999 4.381 90.00 90.00 90.00
Each line ends with the local moment (μB).
Atoms (fractional coordinates):
Na (0.000, 0.000, 0.000)  0.01
In (0.000, 0.500, 0.000)  -0.01
N (0.000, 0.000, 0.500)  1.67
N (0.500, 0.000, 0.000)  1.56
S (0.500, 0.500, 0.500)  0.21

## Properties
The total magnetization comes out at 5.2 μB per cell.

***

Model b:
An optimized crystal structure of NaInSN2. Source: Alexandria, functional PBE.

Lattice parameters (Å, degrees): 4.397 4.397 5.352 90.00 90.00 90.00
Each line ends with the local moment (μB).
Atoms (fractional coordinates):
N (0.500, 0.000, 0.000)  1.59
N (0.000, 0.500, 0.000)  1.59
S (0.000, 0.000, 0.500)  0.18
In (0.500, 0.500, 0.500)  -0.02
Na (0.000, 0.000, 0.000)  0.03

## Properties
The total magnetization comes out at 5.0 μB per cell.

***

Model c:
An optimized crystal structure of NaInSN2. Source: Alexandria, functional PBE.

Lattice parameters (Å, degrees): 4.376 4.376 5.280 90.00 90.00 90.00
Each line ends with the local moment (μB).
Atoms (fractional coordinates):
N (0.000, 0.500, 0.000)  1.19
N (0.500, 0.000, 0.000)  1.19
Na (0.500, 0.500, 0.500)  0.00
In (0.000, 0.000, 0.000)  -0.01
S (0.000, 0.000, 0.500)  0.33

## Properties
The total magnetization comes out at 4.0 μB per cell.

***

Order from most stable to least stable according to the calculation: model c, model b, model a

***

Model a:
An optimized crystal structure of NaInSeN2. Source: Alexandria, functional PBE.

Lattice parameters (Å, degrees): 4.397 4.397 5.808 90.00 90.00 90.00
Each line ends with the local moment (μB).
Atoms (fractional coordinates):
N (0.000, 0.500, 0.000)  1.17
N (0.500, 0.000, 0.000)  1.17
Se (0.000, 0.000, 0.500)  0.37
Na (0.500, 0.500, 0.500)  0.00
In (0.000, 0.000, 0.000)  -0.03

## Properties
The total magnetization comes out at 4.0 μB per cell.

***

Model b:
An optimized crystal structure of NaInSeN2. Source: Alexandria, functional PBE.

Lattice parameters (Å, degrees): 4.530 4.530 5.600 90.00 90.00 90.00
Each line ends with the local moment (μB).
Atoms (fractional coordinates):
N (0.000, 0.500, 0.000)  1.60
N (0.500, 0.000, 0.000)  1.60
In (0.500, 0.500, 0.500)  -0.01
Na (0.000, 0.000, 0.000)  0.02
Se (0.000, 0.000, 0.500)  0.18

## Properties
The total magnetization comes out at 5.0 μB per cell.

***

Order from most stable to least stable according to the calculation: model a, model b